The following is a GGA+U calculation of KThCrO4 after structural relaxation, from the Alexandria database.

The structure in POSCAR format:
```
KThCrO4
1.0
6.420 0.000 0.000
-3.210 5.951 -0.758
0.000 -3.886 6.391
K Th Cr O
2 2 2 8
direct
0.853 0.706 0.103
0.147 0.294 0.897
0.500 0.000 0.500
0.500 0.000 0.000
0.500 0.500 0.500
0.000 0.500 0.500
0.741 0.482 0.672
0.311 0.053 0.276
0.741 0.053 0.276
0.741 0.482 0.311
0.259 0.518 0.689
0.689 0.947 0.724
0.259 0.947 0.724
0.259 0.518 0.328
```

Results
volume	113	Å³/f.u.
DFT total energy	-106.7	eV for the cell shown
Fermi-level density of states	0.0	states/eV/f.u.